# 1
First-principles (PBE) data for HoTmMg4 after structural relaxation, as listed in OQMD via LeMat-Bulk.

Energy: -2.5922 eV per atom
Calculated volume: 153 Å³/cell
Symmetry: No. 10

Unit cell a=3.266 b=5.208 c=9.019 alpha=90.00 beta=90.00 gamma=90.00
Fractional coordinates of all 6 atoms:
Mg (0.496, 0.500, 0.168)
Mg (0.504, 0.000, 0.334)
Mg (0.504, 0.500, 0.832)
Mg (0.496, 0.000, 0.666)
Ho (0.000, 0.000, 0.000)
Tm (0.000, 0.500, 0.500)

# 2
First-principles (PBE) data for YHoMg after structural relaxation, as listed in OQMD via LeMat-Bulk.

Offset from the most stable computed form: 0.000 eV/atom
Energy: -4.2724 eV per atom
Calculated volume: 172 Å³/cell
Symmetry: No. 63

Unit cell a=8.777 b=8.777 c=5.441 alpha=90.00 beta=90.00 gamma=155.82
Fractional coordinates of all 6 atoms:
Mg (0.934, 0.066, 0.250)
Ho (0.727, 0.273, 0.750)
Y (0.408, 0.592, 0.750)
Y (0.592, 0.408, 0.250)
Ho (0.273, 0.727, 0.250)
Mg (0.066, 0.934, 0.750)